The following is a DFT calculation (PBE) of a geometry-optimized Hf2TlCuO structure.

Structure (CIF):
```
data_Hf2TlCuO
_chemical_formula_sum 'Hf2 Tl1 Cu1 O1'
_space_group_name_H-M_alt 'P 4/m m m'
_space_group_IT_number 123
_space_group_name_Hall '-P 4 2'
_cell_length_a 4.234
_cell_length_b 4.234
_cell_length_c 5.131
_cell_angle_alpha 90.00
_cell_angle_beta 90.00
_cell_angle_gamma 90.00
loop_
_atom_site_label
_atom_site_type_symbol
_atom_site_fract_x
_atom_site_fract_y
_atom_site_fract_z
Hf1 Hf 0.000 0.500 0.000
Tl1 Tl 0.000 0.000 0.500
Cu1 Cu 0.500 0.500 0.500
O1 O 0.000 0.000 0.000
```

Summary:
raw formation energy: -519 meV/atom
density of states at the Fermi level: 3.34 states/eV/cell
final energy: -6.78 eV per atom

---

The following is a DFT calculation (PBE) of a geometry-optimized Ba6Tl2As structure.

Structure (CIF):
```
data_Ba6Tl2As
_chemical_formula_sum 'Ba12 Tl4 As2'
_space_group_name_H-M_alt 'P 1 21/c 1'
_space_group_IT_number 14
_cell_length_a 7.976
_cell_length_b 11.235
_cell_length_c 11.505
_cell_angle_alpha 90.00
_cell_angle_beta 122.27
_cell_angle_gamma 90.00
loop_
_space_group_symop_operation_xyz
'x,y,z'
'-x,-y,-z'
'-x,y+1/2,-z+1/2'
'x,-y+1/2,z+1/2'
loop_
_atom_site_label
_atom_site_type_symbol
_atom_site_fract_x
_atom_site_fract_y
_atom_site_fract_z
Ba1 Ba 0.125 0.135 0.456
Ba2 Ba 0.299 0.742 0.432
Ba3 Ba 0.333 0.043 0.182
Tl1 Tl 0.223 0.087 0.815
As1 As 0.500 0.000 0.500
```

Summary:
density of states at the Fermi level: 18.74 states/eV/cell
E_form: -0.43 eV per atom
final energy: -2.75 eV per atom

---

The following is a DFT calculation (PBE) of a geometry-optimized BaCa5Tl4 structure.

Structure (CIF):
```
data_BaCa5Tl4
_chemical_formula_sum 'Ba1 Ca5 Tl4'
_space_group_name_H-M_alt 'P 4/m m m'
_space_group_IT_number 123
_space_group_name_Hall '-P 4 2'
_cell_length_a 3.896
_cell_length_b 3.896
_cell_length_c 22.188
_cell_angle_alpha 90.00
_cell_angle_beta 90.00
_cell_angle_gamma 90.00
loop_
_atom_site_label
_atom_site_type_symbol
_atom_site_fract_x
_atom_site_fract_y
_atom_site_fract_z
Ba1 Ba 0.000 0.000 0.000
Ca1 Ca 0.500 0.500 0.148
Ca2 Ca 0.500 0.500 0.323
Ca3 Ca 0.500 0.500 0.500
Tl1 Tl 0.000 0.000 0.232
Tl2 Tl 0.000 0.000 0.411
```

Summary:
density of states at the Fermi level: 10.21 states/eV/cell
E_form: -0.34 eV per atom
final energy: -2.48 eV per atom

---

The following is a DFT calculation (PBE) of a geometry-optimized Nd4TcPt structure.

Structure (CIF):
```
data_Nd4TcPt
_chemical_formula_sum 'Nd8 Tc2 Pt2'
_space_group_name_H-M_alt 'P -1'
_space_group_IT_number 2
_cell_length_a 6.562
_cell_length_b 7.826
_cell_length_c 8.128
_cell_angle_alpha 114.10
_cell_angle_beta 108.53
_cell_angle_gamma 100.21
loop_
_space_group_symop_operation_xyz
'x,y,z'
'-x,-y,-z'
loop_
_atom_site_label
_atom_site_type_symbol
_atom_site_fract_x
_atom_site_fract_y
_atom_site_fract_z
Nd1 Nd 0.010 0.234 0.367
Nd2 Nd 0.206 0.300 0.849
Nd3 Nd 0.358 0.633 0.368
Nd4 Nd 0.358 0.952 0.151
Tc1 Tc 0.253 0.003 0.506
Pt1 Pt 0.385 0.635 0.770
```

Summary:
density of states at the Fermi level: 10.87 states/eV/cell
E_form: -0.38 eV per atom
final energy: -6.30 eV per atom

---

The following is a DFT calculation (PBE) of a geometry-optimized PmI2 structure.

Structure (CIF):
```
data_PmI2
_chemical_formula_sum 'Pm8 I16'
_space_group_name_H-M_alt 'C 2 2 21'
_space_group_IT_number 20
_cell_length_a 4.197
_cell_length_b 7.269
_cell_length_c 33.412
_cell_angle_alpha 90.00
_cell_angle_beta 90.00
_cell_angle_gamma 90.00
loop_
_space_group_symop_operation_xyz
'x,y,z'
'-x,-y,z+1/2'
'x,-y,-z'
'-x,y,-z+1/2'
'x+1/2,y+1/2,z'
'-x+1/2,-y+1/2,z+1/2'
'x+1/2,-y+1/2,-z'
'-x+1/2,y+1/2,-z+1/2'
loop_
_atom_site_label
_atom_site_type_symbol
_atom_site_fract_x
_atom_site_fract_y
_atom_site_fract_z
Pm1 Pm 0.243 0.001 0.123
I1 I 0.243 0.332 0.815
I2 I 0.243 0.332 0.938
```

Summary:
raw formation energy: -1315 meV/atom
density of states at the Fermi level: 2.71 states/eV/cell
final energy: -3.93 eV per atom
offset from the most stable computed form: 0.000 eV/atom

---

The following is a DFT calculation (PBE) of a geometry-optimized KBPb structure.

Structure (CIF):
```
data_KBPb
_chemical_formula_sum 'K4 B4 Pb4'
_space_group_name_H-M_alt 'P 41 2 2'
_space_group_IT_number 91
_cell_length_a 5.310
_cell_length_b 5.310
_cell_length_c 13.989
_cell_angle_alpha 90.00
_cell_angle_beta 90.00
_cell_angle_gamma 90.00
loop_
_space_group_symop_operation_xyz
'x,y,z'
'-y,x,z+1/4'
'-x,-y,z+1/2'
'y,-x,z+3/4'
'x,-y,-z+1/2'
'-y,-x,-z+1/4'
'-x,y,-z'
'y,x,-z+3/4'
loop_
_atom_site_label
_atom_site_type_symbol
_atom_site_fract_x
_atom_site_fract_y
_atom_site_fract_z
K1 K 0.000 0.201 0.000
B1 B 0.253 0.253 0.375
Pb1 Pb 0.328 0.500 0.250
```

Summary:
density of states at the Fermi level: 0.00 states/eV/cell
E_form: 0.89 eV per atom
final energy: -2.94 eV per atom
offset from the most stable computed form: 0.754 eV/atom

---

The following is a DFT calculation (PBE) of a geometry-optimized ScTc2Ir structure.

Structure (CIF):
```
data_ScTc2Ir
_chemical_formula_sum 'Sc4 Tc8 Ir4'
_space_group_name_H-M_alt 'I -4 2 d'
_space_group_IT_number 122
_space_group_name_Hall 'I -4 2bw'
_cell_length_a 7.474
_cell_length_b 7.474
_cell_length_c 5.069
_cell_angle_alpha 90.00
_cell_angle_beta 90.00
_cell_angle_gamma 90.00
loop_
_atom_site_label
_atom_site_type_symbol
_atom_site_fract_x
_atom_site_fract_y
_atom_site_fract_z
Sc1 Sc 0.000 0.000 0.000
Tc1 Tc 0.211 0.250 0.625
Ir1 Ir 0.000 0.000 0.500
```

Summary:
density of states at the Fermi level: 17.15 states/eV/cell
E_form: 0.30 eV per atom
final energy: -8.68 eV per atom
offset from the most stable computed form: 0.493 eV/atom

---

The following is a DFT calculation (PBE) of a geometry-optimized Rb3Nd3GeO8 structure.

Structure (CIF):
```
data_Rb3Nd3GeO8
_chemical_formula_sum 'Rb9 Nd9 Ge3 O24'
_space_group_name_H-M_alt 'R -3 m'
_space_group_IT_number 166
_space_group_name_Hall '-R 3 2"'
_cell_length_a 7.0241
_cell_length_b 7.0241
_cell_length_c 19.9257
_cell_angle_alpha 90.00
_cell_angle_beta 90.00
_cell_angle_gamma 120.00
loop_
_atom_site_label
_atom_site_type_symbol
_atom_site_fract_x
_atom_site_fract_y
_atom_site_fract_z
Rb1 Rb 0.0000 0.5000 0.0000
Nd1 Nd 0.0000 0.5000 0.5000
Ge1 Ge 0.0000 0.0000 0.5000
O1 O 0.0000 0.0000 0.2262
O2 O 0.0485 0.5243 0.2207
```

Summary:
raw formation energy: -2308 meV/atom
final energy: -6.41 eV per atom

---

The following is a DFT calculation (PBE) of a geometry-optimized Ca4LaPt structure.

Structure (CIF):
```
data_Ca4LaPt
_chemical_formula_sum 'Ca16 La4 Pt4'
_space_group_name_H-M_alt 'F -4 3 m'
_space_group_IT_number 216
_space_group_name_Hall 'F -4 2 3'
_cell_length_a 9.334
_cell_length_b 9.334
_cell_length_c 9.334
_cell_angle_alpha 90.00
_cell_angle_beta 90.00
_cell_angle_gamma 90.00
loop_
_atom_site_label
_atom_site_type_symbol
_atom_site_fract_x
_atom_site_fract_y
_atom_site_fract_z
Ca1 Ca 0.125 0.125 0.125
La1 La 0.250 0.250 0.750
Pt1 Pt 0.000 0.000 0.500
```

Summary:
density of states at the Fermi level: 27.01 states/eV/cell
E_form: 0.41 eV per atom
final energy: -2.75 eV per atom

---

The following is a DFT calculation (PBE) of a geometry-optimized OsAu2I2 structure.

Structure (CIF):
```
data_OsAu2I2
_chemical_formula_sum 'Os2 Au4 I4'
_space_group_name_H-M_alt 'P 4/m b m'
_space_group_IT_number 127
_space_group_name_Hall '-P 4 2ab'
_cell_length_a 7.302
_cell_length_b 7.302
_cell_length_c 4.528
_cell_angle_alpha 90.00
_cell_angle_beta 90.00
_cell_angle_gamma 90.00
loop_
_atom_site_label
_atom_site_type_symbol
_atom_site_fract_x
_atom_site_fract_y
_atom_site_fract_z
Os1 Os 0.000 0.000 0.000
Au1 Au 0.142 0.358 0.000
I1 I 0.183 0.683 0.500
```

Summary:
raw formation energy: 1172 meV/atom
density of states at the Fermi level: 9.45 states/eV/cell
final energy: -3.01 eV per atom
offset from the most stable computed form: 0.000 eV/atom